# BaBePb2

A relaxed structure of BaBePb2 (GGA-PBE, Alexandria via LeMat-Bulk).

Structure (CIF):
```
data_BaBePb2
_chemical_formula_sum 'Ba1 Be1 Pb2'
_space_group_name_H-M_alt 'P 1'
_space_group_IT_number 1
_space_group_name_Hall 'P 1'
_cell_length_a 4.814
_cell_length_b 4.809
_cell_length_c 5.714
_cell_angle_alpha 89.95
_cell_angle_beta 90.00
_cell_angle_gamma 90.00
loop_
_atom_site_label
_atom_site_fract_x
_atom_site_fract_y
_atom_site_fract_z
_atom_site_occupancy
Be1 0.500 0.874 0.844 1
Pb1 0.000 0.876 0.053 1
Pb2 0.500 0.374 0.053 1
Ba1 0.000 0.376 0.550 1
```

Values from the calculation:
E_tot in eV/atom: -3.221
Energy of formation from the pure elements in meV/atom: 45
Space group: Pm, No. 6

# LaPmGaN3

A relaxed structure of LaPmGaN3 (GGA-PBE, Alexandria via LeMat-Bulk).

Structure (CIF):
```
data_LaPmGaN3
_chemical_formula_sum 'La2 Pm2 Ga2 N6'
_space_group_name_H-M_alt 'P 1'
_space_group_IT_number 1
_space_group_name_Hall 'P 1'
_cell_length_a 3.551
_cell_length_b 7.582
_cell_length_c 7.663
_cell_angle_alpha 97.24
_cell_angle_beta 90.00
_cell_angle_gamma 90.00
loop_
_atom_site_label
_atom_site_fract_x
_atom_site_fract_y
_atom_site_fract_z
_atom_site_occupancy
Pm1 0.750 0.365 0.832 1
N1 0.250 0.605 0.860 1
N2 0.250 0.129 0.860 1
N3 0.250 0.840 0.497 1
N4 0.750 0.395 0.140 1
N5 0.750 0.160 0.503 1
La1 0.750 0.826 0.820 1
Ga1 0.250 0.096 0.606 1
Pm2 0.250 0.635 0.168 1
N6 0.750 0.871 0.140 1
La2 0.250 0.174 0.180 1
Ga2 0.750 0.904 0.394 1
```

Values from the calculation:
E_tot in eV/atom: -7.213
Space group: P2_1/m, No. 11

Per-record calculated density, g/cm3: 7.04, 6.42